Record 1
# Co3TcTe | the Alexandria database | PBE-GGA | relaxed
# - Formation energy (no corrections): 7.48 eV/f.u.
# - Fermi-level density of states: 3.79 states/eV per cell
data_Co3TcTe
_symmetry_space_group_name_H-M 'P 1'
_symmetry_Int_Tables_number 1
_symmetry_space_group_name_Hall 'P 1'
_cell_length_a 4.575
_cell_length_b 4.575
_cell_length_c 4.575
_cell_angle_alpha 90.00
_cell_angle_beta 90.00
_cell_angle_gamma 90.00
loop_
_atom_site_label
_atom_site_type_symbol
_atom_site_fract_x
_atom_site_fract_y
_atom_site_fract_z
_atom_site_occupancy
Co1 Co 0.000 0.500 0.000 1
Co2 Co 0.500 0.000 0.000 1
Co3 Co 0.000 0.000 0.500 1
Te1 Te 0.000 0.000 0.000 1
Tc1 Tc 0.500 0.500 0.500 1



Record 2
# CoTcTe2 | the Alexandria database | PBE-GGA | relaxed
# - Formation energy (no corrections): 2.66 eV/f.u.
# - Fermi-level density of states: 5.40 states/eV per cell
data_CoTcTe2
_symmetry_space_group_name_H-M 'P 1'
_symmetry_Int_Tables_number 1
_symmetry_space_group_name_Hall 'P 1'
_cell_length_a 5.550
_cell_length_b 5.550
_cell_length_c 5.550
_cell_angle_alpha 138.98
_cell_angle_beta 138.98
_cell_angle_gamma 59.41
loop_
_atom_site_label
_atom_site_type_symbol
_atom_site_fract_x
_atom_site_fract_y
_atom_site_fract_z
_atom_site_occupancy
Tc1 Tc 0.750 0.250 0.500 1
Te1 Te 0.250 0.750 0.500 1
Te2 Te 0.000 0.000 0.000 1
Co1 Co 0.500 0.500 0.000 1



Record 3
# Co4TcTe | the Alexandria database | PBE-GGA | relaxed
# - Formation energy (no corrections): 2.28 eV/f.u.
# - Fermi-level density of states: 10.00 states/eV per cell
data_Co4TcTe
_symmetry_space_group_name_H-M 'P 1'
_symmetry_Int_Tables_number 1
_symmetry_space_group_name_Hall 'P 1'
_cell_length_a 4.838
_cell_length_b 4.838
_cell_length_c 4.838
_cell_angle_alpha 60.00
_cell_angle_beta 60.00
_cell_angle_gamma 60.00
loop_
_atom_site_label
_atom_site_type_symbol
_atom_site_fract_x
_atom_site_fract_y
_atom_site_fract_z
_atom_site_occupancy
Co1 Co 0.376 0.873 0.376 1
Co2 Co 0.376 0.376 0.376 1
Co3 Co 0.376 0.376 0.873 1
Co4 Co 0.873 0.376 0.376 1
Te1 Te 0.000 0.000 0.000 1
Tc1 Tc 0.750 0.750 0.750 1